1) TiP2SeS: relaxed, PBE.

Results
The value obtained for the density of states at the Fermi level is 0.94 states/eV per atom. As for the space-group type: No. 123. Its mass density is 3.50 g cm⁻³.

abc: 4.854 4.854 4.452
angles: 90.00 90.00 90.00
Element x y z (fractional)
P 0.500 0.000 0.000
S 0.000 0.000 0.500
P 0.000 0.500 0.000
Se 0.500 0.500 0.500
Ti 0.000 0.000 0.000

2) TiP2SeS: relaxed, PBE.

Results
The value obtained for the density of states at the Fermi level is 0.93 states/eV per atom. As for the space-group type: No. 123. Its mass density is 3.62 g cm⁻³.

abc: 4.680 4.680 4.631
angles: 90.00 90.00 90.00
Element x y z (fractional)
P 0.500 0.000 0.000
P 0.000 0.500 0.000
Se 0.000 0.000 0.000
Ti 0.500 0.500 0.500
S 0.000 0.000 0.500

The data favor 1); the next most stable structure lies 566 meV per atom above it.

1) TiPSeS2: relaxed, PBE.

Results
The value obtained for the density of states at the Fermi level is 0.84 states/eV per atom. As for the space-group type: No. 123. Its mass density is 3.47 g cm⁻³.

abc: 4.530 4.530 5.176
angles: 90.00 90.00 90.00
Element x y z (fractional)
S 0.000 0.500 0.000
S 0.500 0.000 0.000
P 0.000 0.000 0.500
Ti 0.000 0.000 0.000
Se 0.500 0.500 0.500

2) TiPSeS2: relaxed, PBE.

Results
The value obtained for the density of states at the Fermi level is 0.96 states/eV per atom. As for the space-group type: No. 123. Its mass density is 3.59 g cm⁻³.

abc: 4.653 4.653 4.737
angles: 90.00 90.00 90.00
Element x y z (fractional)
Ti 0.500 0.500 0.500
P 0.000 0.000 0.500
Se 0.000 0.000 0.000
S 0.000 0.500 0.000
S 0.500 0.000 0.000

The data favor 1); the next most stable structure lies 600 meV per atom above it.

1) VPSeS2: relaxed, PBE.

Results
The value obtained for the density of states at the Fermi level is 0.73 states/eV per atom. As for the space-group type: No. 123. Its mass density is 3.88 g cm⁻³.

abc: 4.380 4.380 5.019
angles: 90.00 90.00 90.00
Element x y z (fractional)
V 0.000 0.000 0.000
P 0.000 0.000 0.500
S 0.000 0.500 0.000
S 0.500 0.000 0.000
Se 0.500 0.500 0.500

2) VPSeS2: relaxed, PBE.

Results
The value obtained for the density of states at the Fermi level is 1.56 states/eV per atom. As for the space-group type: No. 123. Its mass density is 3.63 g cm⁻³.

abc: 4.675 4.675 4.708
angles: 90.00 90.00 90.00
Element x y z (fractional)
S 0.000 0.500 0.000
S 0.500 0.000 0.000
Se 0.000 0.000 0.000
V 0.500 0.500 0.500
P 0.000 0.000 0.500

The data favor 1); the next most stable structure lies 902 meV per atom above it.

1) PWSeS2: relaxed, PBE.

Results
The value obtained for the density of states at the Fermi level is 0.48 states/eV per atom. As for the space-group type: No. 123. Its mass density is 5.93 g cm⁻³.

abc: 4.599 4.599 4.738
angles: 90.00 90.00 90.00
Element x y z (fractional)
S 0.500 0.000 0.000
Se 0.000 0.000 0.000
S 0.000 0.500 0.000
W 0.500 0.500 0.500
P 0.000 0.000 0.500

2) PWSeS2: relaxed, PBE.

Results
The value obtained for the density of states at the Fermi level is 0.85 states/eV per atom. As for the space-group type: No. 123. Its mass density is 5.70 g cm⁻³.

abc: 4.553 4.553 5.029
angles: 90.00 90.00 90.00
Element x y z (fractional)
S 0.000 0.500 0.000
W 0.000 0.000 0.000
Se 0.500 0.500 0.500
P 0.000 0.000 0.500
S 0.500 0.000 0.000

The data favor 2); the next most stable structure lies 1091 meV per atom above it.

1) YPSeS2: relaxed, PBE.

Results
The value obtained for the density of states at the Fermi level is 0.96 states/eV per atom. As for the space-group type: No. 123. Its mass density is 2.89 g cm⁻³.

abc: 5.161 5.161 5.672
angles: 90.00 90.00 90.00
Element x y z (fractional)
S 0.000 0.500 0.000
Y 0.000 0.000 0.000
P 0.000 0.000 0.500
S 0.500 0.000 0.000
Se 0.500 0.500 0.500

2) YPSeS2: relaxed, PBE.

Results
The value obtained for the density of states at the Fermi level is 0.29 states/eV per atom. As for the space-group type: No. 123. Its mass density is 4.04 g cm⁻³.

abc: 4.762 4.762 4.760
angles: 90.00 90.00 90.00
Element x y z (fractional)
S 0.500 0.000 0.000
Y 0.500 0.500 0.500
Se 0.000 0.000 0.000
S 0.000 0.500 0.000
P 0.000 0.000 0.500

The data favor 2); the next most stable structure lies 472 meV per atom above it.

1) SiP2S: relaxed, PBE.

Results
The value obtained for the density of states at the Fermi level is 0.54 states/eV per atom. As for the space-group type: No. 225. Its mass density is 3.47 g cm⁻³.

abc: 4.355 4.355 4.355
angles: 60.00 60.00 60.00
Element x y z (fractional)
S 0.500 0.500 0.500
P 0.750 0.750 0.750
Si 0.000 0.000 0.000
P 0.250 0.250 0.250

2) SiP2S: relaxed, PBE.

Results
The value obtained for the density of states at the Fermi level is 0.04 states/eV per atom. As for the space-group type: No. 122. Its mass density is 2.69 g cm⁻³.

abc: 6.088 6.088 5.925
angles: 59.08 59.08 90.00
Element x y z (fractional)
P 0.597 0.125 0.250
P 0.153 0.625 0.250
Si 0.250 0.750 0.500
Si 0.500 0.500 0.000
S 0.750 0.250 0.500
S 0.000 0.000 0.000
P 0.875 0.847 0.750
P 0.375 0.403 0.750

The data favor 2); the next most stable structure lies 366 meV per atom above it.

1) Si2PS2: relaxed, PBE.

Results
The value obtained for the density of states at the Fermi level is 0.49 states/eV per atom. As for the space-group type: No. 139. Its mass density is 2.81 g cm⁻³.

abc: 4.739 4.739 5.201
angles: 62.90 62.90 90.00
Element x y z (fractional)
S 0.683 0.683 0.634
Si 0.250 0.750 0.500
S 0.317 0.317 0.366
Si 0.750 0.250 0.500
P 0.000 0.000 0.000

2) Si2PS2: relaxed, PBE.

Results
The value obtained for the density of states at the Fermi level is 0.46 states/eV per atom. As for the space-group type: No. 127. Its mass density is 2.71 g cm⁻³.

abc: 7.535 7.535 3.266
angles: 90.00 90.00 90.00
Element x y z (fractional)
S 0.832 0.668 0.000
Si 0.685 0.815 0.500
S 0.168 0.332 0.000
Si 0.815 0.315 0.500
S 0.332 0.832 0.000
Si 0.185 0.685 0.500
P 0.500 0.500 0.000
Si 0.315 0.185 0.500
P 0.000 0.000 0.000
S 0.668 0.168 0.000

The data favor 1); the next most stable structure lies 70 meV per atom above it.

1) SrSiPS2: relaxed, PBE.

Results
The value obtained for the density of states at the Fermi level is 0.52 states/eV per atom. As for the space-group type: No. 123. Its mass density is 3.37 g cm⁻³.

abc: 4.801 4.801 4.508
angles: 90.00 90.00 90.00
Element x y z (fractional)
Si 0.000 0.000 0.000
Sr 0.500 0.500 0.500
P 0.000 0.000 0.500
S 0.500 0.000 0.000
S 0.000 0.500 0.000

2) SrSiPS2: relaxed, PBE.

Results
The value obtained for the density of states at the Fermi level is 1.15 states/eV per atom. As for the space-group type: No. 123. Its mass density is 2.10 g cm⁻³.

abc: 5.468 5.468 5.586
angles: 90.00 90.00 90.00
Element x y z (fractional)
Sr 0.000 0.000 0.000
S 0.000 0.500 0.000
S 0.500 0.000 0.000
P 0.000 0.000 0.500
Si 0.500 0.500 0.500

The data favor 1); the next most stable structure lies 1545 meV per atom above it.

1) SiTcPS2: relaxed, PBE.

Results
The value obtained for the density of states at the Fermi level is 1.23 states/eV per atom. As for the space-group type: No. 123. Its mass density is 4.39 g cm⁻³.

abc: 4.359 4.359 4.404
angles: 90.00 90.00 90.00
Element x y z (fractional)
S 0.500 0.000 0.000
P 0.000 0.000 0.500
Tc 0.500 0.500 0.500
S 0.000 0.500 0.000
Si 0.000 0.000 0.000

2) SiTcPS2: relaxed, PBE.

Results
The value obtained for the density of states at the Fermi level is 1.04 states/eV per atom. As for the space-group type: No. 123. Its mass density is 3.67 g cm⁻³.

abc: 4.722 4.722 4.488
angles: 90.00 90.00 90.00
Element x y z (fractional)
Tc 0.000 0.000 0.000
Si 0.500 0.500 0.500
S 0.000 0.500 0.000
P 0.000 0.000 0.500
S 0.500 0.000 0.000

The data favor 2); the next most stable structure lies 228 meV per atom above it.

1) TiSiPS2: relaxed, PBE.

Results
The value obtained for the density of states at the Fermi level is 0.51 states/eV per atom. As for the space-group type: No. 123. Its mass density is 2.74 g cm⁻³.

abc: 4.634 4.634 4.823
angles: 90.00 90.00 90.00
Element x y z (fractional)
Si 0.500 0.500 0.500
S 0.000 0.500 0.000
P 0.000 0.000 0.500
Ti 0.000 0.000 0.000
S 0.500 0.000 0.000

2) TiSiPS2: relaxed, PBE.

Results
The value obtained for the density of states at the Fermi level is 0.88 states/eV per atom. As for the space-group type: No. 123. Its mass density is 3.19 g cm⁻³.

abc: 4.445 4.445 4.512
angles: 90.00 90.00 90.00
Element x y z (fractional)
S 0.500 0.000 0.000
P 0.000 0.000 0.500
S 0.000 0.500 0.000
Si 0.000 0.000 0.000
Ti 0.500 0.500 0.500

The data favor 1); the next most stable structure lies 111 meV per atom above it.

1) Tl2SiPS: relaxed, PBE.

Results
The value obtained for the density of states at the Fermi level is 0.44 states/eV per atom. As for the space-group type: No. 123. Its mass density is 6.25 g cm⁻³.

abc: 5.512 4.371 5.512
angles: 90.00 90.00 90.00
Element x y z (fractional)
Si 0.000 0.000 0.000
Tl 0.000 0.000 0.500
S 0.000 0.500 0.000
P 0.500 0.500 0.500
Tl 0.500 0.000 0.000

2) Tl2SiPS: relaxed, PBE.

Results
The value obtained for the density of states at the Fermi level is 0.59 states/eV per atom. As for the space-group type: No. 123. Its mass density is 5.48 g cm⁻³.

abc: 5.860 4.408 5.860
angles: 90.00 90.00 90.00
Element x y z (fractional)
P 0.500 0.500 0.500
Tl 0.000 0.000 0.500
S 0.000 0.000 0.000
Tl 0.500 0.000 0.000
Si 0.000 0.500 0.000

The data favor 1); the next most stable structure lies 159 meV per atom above it.

1) ZrSiPS2: relaxed, PBE.

Results
The value obtained for the density of states at the Fermi level is 0.54 states/eV per atom. As for the space-group type: No. 123. Its mass density is 3.93 g cm⁻³.

abc: 4.451 4.451 4.574
angles: 90.00 90.00 90.00
Element x y z (fractional)
Zr 0.500 0.500 0.500
S 0.500 0.000 0.000
Si 0.000 0.000 0.000
S 0.000 0.500 0.000
P 0.000 0.000 0.500

2) ZrSiPS2: relaxed, PBE.

Results
The value obtained for the density of states at the Fermi level is 0.55 states/eV per atom. As for the space-group type: No. 123. Its mass density is 2.87 g cm⁻³.

abc: 4.914 4.914 5.132
angles: 90.00 90.00 90.00
Element x y z (fractional)
Si 0.500 0.500 0.500
Zr 0.000 0.000 0.000
S 0.000 0.500 0.000
P 0.000 0.000 0.500
S 0.500 0.000 0.000

The data favor 1); the next most stable structure lies 214 meV per atom above it.